# YHo2Ag

An optimized crystal structure of YHo2Ag (PBE-GGA, Alexandria).

```
data_YHo2Ag
_space_group_name_H-M_alt 'R -3 m'
_space_group_IT_number 166
_space_group_name_Hall '-R 3 2"'
_cell_length_a 3.4052
_cell_length_b 3.4052
_cell_length_c 34.6762
_cell_angle_alpha 90.00
_cell_angle_beta 90.00
_cell_angle_gamma 120.00
loop_
_atom_site_label
_atom_site_fract_x
_atom_site_fract_y
_atom_site_fract_z
Y1 0.0000 0.0000 0.0000
Ho1 0.0000 0.0000 0.0971
Ag1 0.0000 0.0000 0.5000
```

Values from the calculation:
Density of states at the Fermi level: 16.85 states/eV per cell
ρ: 7.534 Mg/m³
DFT total energy: -52.92 eV/cell